P) 5
Lattice="-0.794 -5.994 -0.095 4.715 -0.684 3.724 -3.702 0.415 4.763" Properties=species:S:1:pos:R:3 comment="CdHg3Bi | Alexandria | PBE | optimized geometry" rho_g_cm3=6.9 pbc="T T T"
Cd 0.109 -3.132 4.196
Bi 0.000 0.000 0.000
Hg 2.358 -0.342 1.862
Hg -1.851 0.207 2.382
Hg -0.397 -2.997 -0.048

Q) 10
Lattice="3.614 -0.859 2.367 -0.105 4.284 1.358 -1.920 -0.270 16.622" Properties=species:S:1:pos:R:3 comment="CdHg3Bi | Alexandria | PBE | optimized geometry" rho_g_cm3=11.0 pbc="T T T"
Cd 1.056 1.198 1.287
Cd -0.873 3.375 11.516
Hg -0.138 1.241 7.589
Hg 1.871 0.495 16.098
Hg 1.495 2.961 9.561
Hg 2.297 0.757 5.607
Hg 0.315 3.337 5.211
Hg 0.006 2.945 15.694
Bi 2.814 2.979 3.096
Bi 0.982 0.734 12.076

The calculated energies rank the structures as follows, beginning with the most stable: Q), P).

P) 12
Lattice="2.846 0.176 -2.067 0.621 6.714 3.336 -2.373 4.667 20.998" Properties=species:S:1:pos:R:3 comment="Cd3Hg2Bi | Alexandria | PBE | optimized geometry" rho_g_cm3=10.0 pbc="T T T"
Cd 1.821 7.018 8.766
Cd -1.578 5.921 20.692
Cd 1.661 2.834 2.148
Cd -0.727 4.539 13.502
Cd -0.566 8.723 20.120
Cd 2.673 5.636 1.576
Hg -0.865 3.873 10.570
Hg 1.960 7.683 11.698
Hg 1.740 6.621 5.804
Hg -0.645 4.935 16.464
Bi 1.692 3.442 5.346
Bi -0.597 8.115 16.922

Q) 6
Lattice="-4.968 -0.791 -1.573 1.131 0.230 5.143 -0.991 6.354 -0.066" Properties=species:S:1:pos:R:3 comment="Cd3Hg2Bi | Alexandria | PBE | optimized geometry" rho_g_cm3=10.2 pbc="T T T"
Cd -0.496 3.177 -0.033
Cd -3.728 4.630 0.613
Cd -1.101 1.162 2.891
Hg -3.251 1.577 0.645
Hg -1.577 4.215 2.859
Bi 0.000 0.000 0.000

The calculated energies rank the structures as follows, beginning with the most stable: P), Q).

P) 19
Lattice="6.280 0.000 0.000 -3.140 8.386 0.539 0.000 -2.332 9.467" Properties=species:S:1:pos:R:3 comment="Cd12Hg5Bi2 | Alexandria | PBE | optimized geometry" rho_g_cm3=9.1 pbc="T T T"
Cd 0.000 0.906 2.756
Cd -1.605 2.991 8.672
Cd 1.605 2.991 8.672
Cd -1.600 4.953 4.098
Cd 1.600 4.953 4.098
Cd 0.000 6.605 6.751
Cd 3.140 -0.551 3.254
Cd 4.740 1.101 5.907
Cd 1.540 1.101 5.907
Cd 4.745 3.062 1.334
Cd 1.535 3.062 1.334
Cd 3.140 5.148 7.249
Hg 0.000 3.661 6.246
Hg 0.000 5.699 1.700
Hg 0.000 -1.166 4.733
Hg 3.140 0.355 8.306
Hg 3.140 2.393 3.760
Bi 4.705 0.000 0.000
Bi 1.575 0.000 0.000

Q) 19
Lattice="-8.050 6.173 -2.689 -0.264 -9.503 -4.446 2.214 -1.390 7.257" Properties=species:S:1:pos:R:3 comment="Cd12Hg5Bi2 | Alexandria | PBE | optimized geometry" rho_g_cm3=9.2 pbc="T T T"
Cd -5.040 -5.102 -0.935
Cd -3.972 -0.852 0.830
Cd -0.440 -8.834 -0.358
Cd -0.297 -6.149 -1.720
Cd -3.881 1.812 -0.576
Cd -4.449 -2.855 -2.672
Cd -1.650 -1.865 2.793
Cd -5.803 1.430 1.841
Cd -2.218 -6.532 0.698
Cd -2.128 -3.868 -0.709
Cd -5.659 4.114 0.480
Cd -1.059 0.382 1.056
Hg -5.975 0.676 -2.541
Hg 0.466 -2.772 0.751
Hg -2.918 2.391 2.284
Hg -6.565 -1.948 -0.630
Hg -0.125 -5.395 2.663
Bi -2.125 -0.851 -1.824
Bi -3.975 -3.869 1.945

The calculated energies rank the structures as follows, beginning with the most stable: Q), P).

P) 13
Lattice="-3.729 2.634 0.721 0.434 3.053 -8.817 -5.110 -7.802 2.010" Properties=species:S:1:pos:R:3 comment="Cd8Hg3Bi2 | Alexandria | PBE | optimized geometry" rho_g_cm3=8.9 pbc="T T T"
Cd -3.677 -4.689 -1.885
Cd -4.728 2.574 -4.202
Cd -7.211 -0.587 -5.504
Cd -1.193 -1.529 -0.582
Cd -2.823 1.942 -6.814
Cd -2.878 0.662 -2.463
Cd -5.526 -2.778 -3.623
Cd -5.582 -4.057 0.727
Hg -1.864 1.317 0.360
Hg -8.649 -4.248 0.368
Hg 0.245 2.132 -6.455
Bi -4.104 -0.339 -5.155
Bi -4.300 -1.776 -0.931

Q) 13
Lattice="-1.815 -5.985 -1.433 6.219 -2.876 4.134 -6.735 1.893 3.704" Properties=species:S:1:pos:R:3 comment="Cd8Hg3Bi2 | Alexandria | PBE | optimized geometry" rho_g_cm3=9.1 pbc="T T T"
Cd 2.102 -1.915 3.251
Cd -4.433 -5.054 3.154
Cd -2.761 -4.820 0.800
Cd 0.430 -2.148 5.604
Cd -1.666 -4.599 4.121
Cd -5.531 -2.812 1.552
Cd 3.200 -4.157 4.853
Cd -0.665 -2.369 2.284
Hg -0.908 -2.993 -0.717
Hg 1.200 -0.555 0.798
Hg 5.019 -2.321 3.336
Bi -3.368 -1.915 3.735
Bi 1.037 -5.053 2.670

The calculated energies rank the structures as follows, beginning with the most stable: P), Q).

P) 8
Lattice="-6.214 -2.531 -0.988 2.457 -6.287 0.654 -3.021 -4.172 6.411" Properties=species:S:1:pos:R:3 comment="CdHgBi2 | Alexandria | PBE | optimized geometry" rho_g_cm3=7.9 pbc="T T T"
Cd -1.878 -4.409 -0.167
Cd -1.221 -7.434 3.448
Bi -4.334 -3.412 1.066
Bi 0.006 -5.288 1.888
Bi -3.676 -6.434 4.682
Bi -5.552 -10.848 4.515
Hg 0.000 0.000 0.000
Hg -5.557 -5.556 2.627

Q) 4
Lattice="-4.130 -1.641 -2.073 -0.220 -4.581 -1.736 -3.361 -4.005 4.069" Properties=species:S:1:pos:R:3 comment="CdHgBi2 | Alexandria | PBE | optimized geometry" rho_g_cm3=9.7 pbc="T T T"
Cd -6.232 -8.124 1.450
Hg -3.863 -5.121 0.151
Bi -2.940 -3.579 2.891
Bi -1.893 -2.521 -0.033

R) 4
Lattice="-0.662 1.730 -2.897 -5.395 -1.877 0.111 -1.525 4.566 3.075" Properties=species:S:1:pos:R:3 comment="CdHgBi2 | Alexandria | PBE | optimized geometry" rho_g_cm3=10.8 pbc="T T T"
Cd -0.331 0.865 -1.449
Bi -0.763 2.283 1.538
Bi -2.697 -0.938 0.055
Hg -3.791 2.210 0.144

The calculated energies rank the structures as follows, beginning with the most stable: Q), R), P).

P) 4
Lattice="-3.622 -4.028 0.004 -5.287 1.112 0.385 -3.241 -0.733 -4.278" Properties=species:S:1:pos:R:3 comment="CdHgBi2 | Alexandria | PBE | optimized geometry" rho_g_cm3=10.8 pbc="T T T"
Cd 0.000 0.000 0.000
Bi -3.037 -0.912 -0.972
Bi -9.112 -2.736 -2.916
Hg -6.075 -1.824 -1.944

Q) 4
Lattice="3.545 0.000 0.000 0.000 3.545 0.000 0.000 0.000 9.032" Properties=species:S:1:pos:R:3 comment="CdHgBi2 | Alexandria | PBE | optimized geometry" rho_g_cm3=10.7 pbc="T T T"
Cd 1.773 1.773 0.000
Bi 0.000 0.000 6.920
Bi 0.000 0.000 2.112
Hg 1.773 1.773 4.516

The calculated energies rank the structures as follows, beginning with the most stable: Q), P).

P) 14
Lattice="8.010 -0.009 3.101 3.240 7.128 3.379 1.800 0.991 7.286" Properties=species:S:1:pos:R:3 comment="Cd3Hg3Bi | Alexandria | PBE | optimized geometry" rho_g_cm3=10.6 pbc="T T T"
Cd 7.155 5.210 8.828
Cd 6.925 1.985 7.795
Cd 4.225 4.107 7.393
Cd 8.825 4.003 6.373
Cd 6.125 6.125 5.972
Cd 5.895 2.900 4.939
Hg 3.578 5.131 4.483
Hg 8.410 1.054 5.152
Hg 9.044 7.013 7.143
Hg 4.005 1.097 6.624
Hg 4.640 7.056 8.615
Hg 9.471 2.979 9.284
Bi 9.609 5.980 10.811
Bi 3.441 2.131 2.956

Q) 14
Lattice="7.970 0.000 0.000 0.000 7.970 0.000 0.000 0.000 7.970" Properties=species:S:1:pos:R:3 comment="Cd3Hg3Bi | Alexandria | PBE | optimized geometry" rho_g_cm3=7.5 pbc="T T T"
Cd 1.993 0.000 3.985
Cd 0.000 3.985 1.993
Cd 3.985 5.978 0.000
Cd 5.978 0.000 3.985
Cd 0.000 3.985 5.978
Cd 3.985 1.993 0.000
Bi 3.985 3.985 3.985
Bi 0.000 0.000 0.000
Hg 0.000 1.993 3.985
Hg 0.000 5.978 3.985
Hg 3.985 0.000 5.978
Hg 5.978 3.985 0.000
Hg 3.985 0.000 1.993
Hg 1.993 3.985 0.000

The calculated energies rank the structures as follows, beginning with the most stable: P), Q).

P) 15
Lattice="-5.705 2.259 4.619 2.358 0.156 7.308 1.117 7.239 2.312" Properties=species:S:1:pos:R:3 comment="Cd8Hg6Bi | Alexandria | PBE | optimized geometry" rho_g_cm3=10.0 pbc="T T T"
Cd 0.432 7.228 5.660
Cd 2.058 5.140 7.477
Cd -2.764 7.015 5.451
Cd -1.294 5.602 8.263
Cd -0.936 4.051 5.975
Cd 0.534 2.638 8.788
Cd -4.288 4.513 6.762
Cd -2.662 2.425 8.579
Hg -3.396 7.441 9.118
Hg -0.706 4.704 3.138
Hg -2.498 1.906 4.754
Hg 0.267 7.747 9.485
Hg -1.524 4.949 11.101
Hg 1.166 2.212 5.121
Bi 0.000 0.000 0.000

Q) 15
Lattice="3.341 0.000 0.000 0.000 11.577 0.000 0.000 -5.789 10.026" Properties=species:S:1:pos:R:3 comment="Cd8Hg6Bi | Alexandria | PBE | optimized geometry" rho_g_cm3=9.9 pbc="T T T"
Cd 2.466 2.792 9.256
Cd 2.466 -3.624 7.815
Cd 2.466 0.832 2.980
Cd 0.875 2.997 0.770
Cd 0.875 9.412 2.211
Cd 0.875 4.957 7.046
Cd 2.395 5.789 3.342
Cd 0.945 0.000 6.684
Hg 2.588 2.502 6.291
Hg 2.588 -0.910 9.048
Hg 2.588 -1.592 4.714
Hg 0.752 3.286 3.735
Hg 0.752 6.699 0.978
Hg 0.752 7.380 5.312
Bi 1.670 0.000 0.000

The calculated energies rank the structures as follows, beginning with the most stable: P), Q).

P) 20
Lattice="-4.992 6.409 -0.770 -3.096 -6.532 -5.470 -8.299 -2.706 2.447" Properties=species:S:1:pos:R:3 comment="Cd7Hg12Bi | Alexandria | PBE | optimized geometry" rho_g_cm3=10.7 pbc="T T T"
Cd -6.196 3.569 -0.854
Cd -10.343 0.261 -4.169
Cd -9.975 -2.430 -0.129
Cd -2.496 3.204 -0.385
Cd -6.412 -0.400 -3.664
Cd -6.044 -3.091 0.375
Cd -10.190 -6.399 -2.939
Hg -7.960 2.157 -2.967
Hg -12.621 -1.620 -3.253
Hg -4.488 1.469 -2.260
Hg -7.975 -5.064 -4.514
Hg -9.149 -2.361 -3.110
Hg -10.343 0.422 -1.145
Hg -6.043 -3.252 -2.648
Hg -7.238 -0.469 -0.684
Hg -8.412 2.234 0.720
Hg -11.899 -4.299 -1.534
Hg -3.765 -1.210 -0.541
Hg -8.426 -4.987 -0.827
Bi 0.000 0.000 0.000

Q) 20
Lattice="-9.022 0.043 2.547 5.040 -4.596 6.431 3.098 8.822 -0.678" Properties=species:S:1:pos:R:3 comment="Cd7Hg12Bi | Alexandria | PBE | optimized geometry" rho_g_cm3=8.9 pbc="T T T"
Cd -2.962 4.433 0.934
Cd -1.991 -2.276 4.489
Cd 4.069 2.113 2.876
Cd 1.549 4.411 -0.339
Cd -4.511 0.022 1.273
Cd -0.442 2.135 4.150
Cd 2.520 -2.298 3.215
Hg -0.381 3.111 1.409
Hg 2.138 -2.794 6.058
Hg -0.503 1.158 6.890
Hg -3.022 7.063 2.241
Hg -2.021 0.111 2.777
Hg -3.796 -1.918 6.779
Hg 1.137 4.158 5.522
Hg 2.912 6.187 1.520
Hg -6.150 1.920 2.750
Hg 5.266 2.350 5.549
Hg 1.639 0.466 2.985
Hg -2.523 3.803 5.314
Bi 0.000 0.000 0.000

The calculated energies rank the structures as follows, beginning with the most stable: P), Q).

P) 14
Lattice="4.814 0.000 0.000 0.000 6.860 0.000 0.000 0.000 11.549" Properties=species:S:1:pos:R:3 comment="Cd4Hg2Bi | Alexandria | PBE | optimized geometry" rho_g_cm3=9.2 pbc="T T T"
Bi 0.000 0.000 5.774
Bi 0.000 3.430 0.000
Hg 2.407 5.806 9.428
Hg 2.407 1.054 2.121
Hg 2.407 2.376 7.895
Hg 2.407 4.484 3.654
Cd 0.000 4.277 8.441
Cd 0.000 2.583 3.108
Cd 0.000 0.847 8.882
Cd 0.000 6.014 2.667
Cd 2.407 4.998 6.516
Cd 2.407 1.862 5.032
Cd 2.407 5.292 0.742
Cd 2.407 1.568 10.807

Q) 14
Lattice="7.485 0.000 -0.505 0.000 6.191 0.000 -3.386 0.000 8.104" Properties=species:S:1:pos:R:3 comment="Cd4Hg2Bi | Alexandria | PBE | optimized geometry" rho_g_cm3=9.6 pbc="T T T"
Cd 3.363 3.061 2.564
Cd -1.112 4.644 7.204
Cd 5.211 1.548 0.395
Cd 3.363 0.035 2.564
Cd -1.629 1.548 3.984
Cd 0.736 6.157 5.034
Cd 0.736 3.130 5.034
Cd 5.728 4.644 3.615
Hg 5.084 4.644 0.298
Hg -0.985 1.548 7.300
Hg 0.615 1.548 1.789
Hg 3.484 4.644 5.810
Bi 0.763 4.644 1.829
Bi 3.336 1.548 5.769

The calculated energies rank the structures as follows, beginning with the most stable: Q), P).